Entry 1:
Below is TlPb4I8 after structural relaxation, with properties calculated at the PBE level.

```
13
Lattice="8.5403 -0.0007 -4.6076 -5.5128 7.9860 -0.0005 -0.3689 -0.2539 9.5351" Properties=species:S:1:pos:R:3 pbc="T T T"
Tl -2.9408 3.8660 4.7673
Pb 0.0000 0.0000 0.0000
Pb 5.4150 3.7384 4.9272
Pb 1.5138 3.9927 -2.3041
Pb 4.2701 -0.0003 -2.3038
I -0.0468 5.8633 -0.0877
I 2.7055 1.8681 5.0146
I 2.7068 1.8685 -0.0530
I -1.5736 1.8394 7.3018
I -0.0482 5.8629 4.9799
I -4.3513 5.8632 7.3015
I 7.0099 1.8682 -2.3745
I 4.2323 5.8920 -2.3748
```

Output
**Total DFT energy (no corrections)**: -36.72 eV per cell
**Magnetization**: 0.000 μB/f.u.
**ΔE to the lowest computed polymorph**: 0.0 meV/atom
**Crystal system**: trigonal
**Raw formation energy**: -548 meV/atom
**SG**: R-3m, No. 166

Entry 2:
Below is TlPbI2 after structural relaxation, with properties calculated at the PBE level.

```
4
Lattice="4.2413 0.0000 0.0000 2.1206 3.6731 0.0000 2.1206 1.2244 9.8877" Properties=species:S:1:pos:R:3 pbc="T T T"
Pb 0.0000 0.0000 0.0000
I 2.1206 1.2244 2.3888
I 6.3619 3.6730 7.4989
Tl 4.2413 2.4487 4.9439
```

Output
**Total DFT energy (no corrections)**: -10.65 eV per cell
**Magnetization**: 0.000 μB/f.u.
**ΔE to the lowest computed polymorph**: 0.0 meV/atom
**Crystal system**: trigonal
**Raw formation energy**: -368 meV/atom
**SG**: R-3m, No. 166

Entry 3:
Below is TlPb2I2 after structural relaxation, with properties calculated at the PBE level.

```
5
Lattice="4.5227 0.0000 0.0000 0.0000 4.5227 0.0000 2.2613 2.2613 9.6908" Properties=species:S:1:pos:R:3 pbc="T T T"
Pb 4.5227 2.2613 4.8454
Pb 2.2613 4.5227 4.8454
I 2.2613 2.2613 1.9828
I 4.5227 4.5227 7.7080
Tl 0.0000 0.0000 0.0000
```

Output
**Total DFT energy (no corrections)**: -14.15 eV per cell
**Magnetization**: 0.000 μB/f.u.
**ΔE to the lowest computed polymorph**: 0.0 meV/atom
**Crystal system**: tetragonal
**Raw formation energy**: -253 meV/atom
**SG**: I4/mmm, No. 139

Entry 4:
Below is TlPb2I2 after structural relaxation, with properties calculated at the PBE level.

```
5
Lattice="-3.1788 -5.5756 -1.3564 5.4555 -3.4172 1.2617 -0.1819 -4.8799 4.6228" Properties=species:S:1:pos:R:3 pbc="T T T"
Pb 0.7078 -4.6215 1.4755
Pb 1.3870 -9.2512 3.0525
I -1.1111 -7.4759 1.6095
I 3.2060 -6.3968 2.9186
Tl 0.0000 0.0000 0.0000
```

Output
**Total DFT energy (no corrections)**: -13.61 eV per cell
**Magnetization**: 0.000 μB/f.u.
**ΔE to the lowest computed polymorph**: 106.8 meV/atom
**Crystal system**: tetragonal
**Raw formation energy**: -146 meV/atom
**SG**: I4/mmm, No. 139